DFT (PBE+U) results for an optimized crystal structure of AcAlCr2O8.

Computed properties:
- Magnetic moment: 2.0 Bohr magnetons per cell
- Calculated volume: 14.41 Å³ per atom
- Symmetry: P-3
- Crystal system: trigonal
- E: -87.4 eV per formula unit

Structure (POSCAR):
```
AcAlCr2O8
1.0
5.4209 0.0000 0.0000
-2.7104 4.6946 0.0000
0.0000 0.0000 6.7946
Ac O Cr Al
1 8 2 1
Direct
0.0000 0.0000 0.0000 Ac
0.6885 0.8415 0.6768 O
0.3115 0.1585 0.3232 O
0.6667 0.3333 0.0048 O
0.8470 0.6885 0.3232 O
0.8415 0.1530 0.3232 O
0.3333 0.6667 0.9952 O
0.1585 0.8470 0.6768 O
0.1530 0.3115 0.6768 O
0.3333 0.6667 0.7455 Cr
0.6667 0.3333 0.2545 Cr
0.0000 0.0000 0.5000 Al
```